A plane-wave DFT calculation with PBE-GGA was carried out for a relaxed UNi7 crystal.

Calculated values
energy of formation from the pure elements: -1.07 eV per formula unit
raw total energy: -6.603 eV per atom

Cell: 5.1764 5.1764 4.2175 Å, 90.00 90.00 120.00°
Space group P-6m2 (No. 187)
Symmetry-distinct sites (fractional):
U: 0.0000 0.0000 0.0000 (multiplicity 1)
Ni: 0.0028 0.5014 0.0000 (multiplicity 3)
Ni: 0.3333 0.6667 0.5000 (multiplicity 1)
Ni: 0.3467 0.1733 0.5000 (multiplicity 3)

A plane-wave DFT calculation with PBE-GGA was carried out for a relaxed UV2Ni crystal.

Calculated values
energy of formation from the pure elements: 0.95 eV per formula unit
raw total energy: -8.590 eV per atom
excess energy over the best structure of this formula in the dataset: 0.342 eV/f.u.

Cell: 3.205 3.205 5.718 Å, 90.00 90.00 90.00°
Space group P4/mmm (No. 123)
Symmetry-distinct sites (fractional):
U: 0.000 0.000 0.000 (multiplicity 1)
V: 0.500 0.500 0.251 (multiplicity 2)
Ni: 0.000 0.000 0.500 (multiplicity 1)

A plane-wave DFT calculation with PBE-GGA was carried out for a relaxed UV2Ni crystal.

Calculated values
energy of formation from the pure elements: 0.85 eV per formula unit
raw total energy: -8.613 eV per atom
excess energy over the best structure of this formula in the dataset: 0.248 eV/f.u.

Cell: 6.119 6.119 6.119 Å, 90.00 90.00 90.00°
Space group Fm-3m (No. 225)
Symmetry-distinct sites (fractional):
U: 0.000 0.000 0.000 (multiplicity 4)
V: 0.250 0.250 0.250 (multiplicity 8)
Ni: 0.000 0.000 0.500 (multiplicity 4)

A plane-wave DFT calculation with PBE-GGA was carried out for a relaxed UVNi2 crystal.

Calculated values
energy of formation from the pure elements: 0.63 eV per formula unit
raw total energy: -7.835 eV per atom

Cell: 2.7044 2.7044 27.1643 Å, 90.00 90.00 120.00°
Space group R-3m (No. 166, hexagonal axes)
Symmetry-distinct sites (fractional):
U: 0.0000 0.0000 0.0000 (multiplicity 3)
V: 0.0000 0.0000 0.5000 (multiplicity 3)
Ni: 0.0000 0.0000 0.2402 (multiplicity 6)

A plane-wave DFT calculation with PBE-GGA was carried out for a relaxed UV2Ni crystal.

Calculated values
energy of formation from the pure elements: 0.61 eV per formula unit
raw total energy: -8.675 eV per atom
excess energy over the best structure of this formula in the dataset: 0.000 eV/f.u.

Cell: 4.373 4.373 3.049 Å, 90.00 90.00 90.00°
Space group P4/mmm (No. 123)
Symmetry-distinct sites (fractional):
U: 0.000 0.000 0.000 (multiplicity 1)
V: 0.000 0.500 0.500 (multiplicity 2)
Ni: 0.500 0.500 0.000 (multiplicity 1)

A plane-wave DFT calculation with PBE-GGA was carried out for a relaxed Y2U2Ni15 crystal.

Calculated values
energy of formation from the pure elements: -4.85 eV per formula unit
raw total energy: -6.688 eV per atom

Cell: 8.4356 8.4356 12.7212 Å, 90.00 90.00 120.00°
Space group R-3m (No. 166, hexagonal axes)
Symmetry-distinct sites (fractional):
Y: 0.0000 0.0000 0.1413 (multiplicity 6)
U: 0.0000 0.0000 0.4025 (multiplicity 6)
Ni: 0.0000 0.3140 0.5000 (multiplicity 18)
Ni: 0.0000 0.5000 0.0000 (multiplicity 9)
Ni: 0.0020 0.5010 0.6584 (multiplicity 18)